## TmTlVF6 (GGA+U)

Data for an optimized crystal structure of TmTlVF6.

Properties
mass density: 5.0 g/cm3
space group: Imma, No. 74
energy: -0.219 hartree per atom

Cell: 7.7787 8.1182 7.9653 Å, 120.64 119.23 90.00°
With the nearest neighbours (Å) after each atom.
Positions (direct):
1 Tm 0.5000 0.5000 0.0000  6 F 2.14-2.17
2 Tm 0.5000 0.0000 0.0000  6 F 2.14-2.17
3 Tl 0.9629 0.7129 0.9257  1 F 2.49
4 Tl 0.0371 0.2871 0.0743  1 F 2.49
5 V 0.5000 0.0000 0.5000  6 F 2.09-2.12
6 V 0.0000 0.0000 0.5000  6 F 2.09-2.12
7 F 0.4324 0.6824 0.8647  2 Tm 2.17
8 F 0.8167 0.0667 0.6333  2 V 2.09
9 F 0.8207 0.0483 0.2354  1 V 2.12, 1 Tm 2.14
10 F 0.4147 0.6871 0.2354  1 V 2.12, 1 Tm 2.14
11 F 0.4147 0.0483 0.2354  1 V 2.12, 1 Tm 2.14
12 F 0.8207 0.6871 0.2354  1 V 2.12, 1 Tm 2.14
13 F 0.5676 0.3176 0.1353  2 Tm 2.17
14 F 0.1833 0.9333 0.3667  2 V 2.09
15 F 0.1793 0.9517 0.7646  1 V 2.12, 1 Tm 2.14
16 F 0.5853 0.3129 0.7646  1 V 2.12, 1 Tm 2.14
17 F 0.5853 0.9517 0.7646  1 V 2.12, 1 Tm 2.14
18 F 0.1793 0.3129 0.7646  1 V 2.12, 1 Tm 2.14